SbH3Pb after structural relaxation. Source: the Alexandria database, functional GGA-PBEsol.

a b c (Å): 4.152 4.152 4.152
angles (deg): 90.00 90.00 90.00
Atoms (fractional coordinates):
H  0.500  0.000  0.000
H  0.000  0.500  0.000
H  0.000  0.000  0.500
Pb  0.000  0.000  0.000
Sb  0.500  0.500  0.500

Summary:
Calculated total energy in eV per atom: -2.9213



Sc2H2Pb after structural relaxation. Source: the Alexandria database, functional GGA-PBEsol.

a b c (Å): 3.724 3.724 5.628
angles (deg): 109.32 109.32 90.00
Atoms (fractional coordinates):
Sc  0.659  0.659  0.319
Sc  0.341  0.341  0.681
Pb  0.000  0.000  0.000
H  0.750  0.250  0.500
H  0.250  0.750  0.500

Summary:
Calculated total energy in eV per atom: -5.4001



ScHPb after structural relaxation. Source: the Alexandria database, functional GGA-PBEsol.

a b c (Å): 3.411 3.411 4.878
angles (deg): 90.00 90.00 120.00
Atoms (fractional coordinates):
Pb  0.000  0.000  0.000
H  0.667  0.333  0.500
Sc  0.333  0.667  0.500

Summary:
Calculated total energy in eV per atom: -5.1716



Sc2HPbSe after structural relaxation. Source: the Alexandria database, functional GGA-PBEsol.

a b c (Å): 4.878 4.878 3.837
angles (deg): 90.00 90.00 90.00
Atoms (fractional coordinates):
Sc  0.000  0.500  0.000
Sc  0.500  0.000  0.000
Se  0.500  0.500  0.500
H  0.000  0.000  0.000
Pb  0.000  0.000  0.500

Summary:
Calculated total energy in eV per atom: -5.1468



Calculated density values, unit g/cm³, following the record order: 7.703; 7.200; 8.553; 6.859.